(1)
VASP calculation (GGA-PBE) on Ba2Sr8Cd after structural relaxation.

a b c (Å): 5.9201 5.9201 16.7944
angles (deg): 90.00 90.00 90.00
With the nearest neighbours (Å) after each atom.
Fractional positions:
Sr1 0.5000 0.5000 0.3101  4 Ba 4.19, 8 Sr 4.35-4.40
Sr2 0.5000 0.0000 0.1167  2 Cd 3.55, 1 Sr 3.92
Sr3 0.5000 0.0000 0.5000  8 Sr 4.19-4.35, 4 Ba 4.39
Sr4 0.5000 0.5000 0.6899  4 Ba 4.19, 8 Sr 4.35-4.40
Sr5 0.0000 0.5000 0.8833  2 Cd 3.55, 1 Sr 3.92
Sr6 0.0000 0.5000 0.1167  2 Cd 3.55, 1 Sr 3.92
Sr7 0.0000 0.5000 0.5000  8 Sr 4.19-4.35, 4 Ba 4.39
Sr8 0.5000 0.0000 0.8833  2 Cd 3.55, 1 Sr 3.92
Ba1 0.0000 0.0000 0.6931  12 Sr 4.19-4.39
Ba2 0.0000 0.0000 0.3069  12 Sr 4.19-4.39
Cd1 0.0000 0.0000 0.0000  8 Sr 3.55

Values from the calculation:
E_tot, eV/atom: -1.672
E_form, eV per atom: -0.0160
DOS at the Fermi energy, states/eV/f.u.: 15.3
Total magnetization, μB per atom: 0.0059


(2)
VASP calculation (GGA-PBE) on Rb3Ho2MgTe6 after structural relaxation.

a b c (Å): 7.6882 7.6882 9.0304
angles (deg): 98.17 98.17 120.01
With the nearest neighbours (Å) after each atom.
Fractional positions:
Rb1 0.5000 0.5000 0.5000  6 Te 3.66-3.69
Rb2 0.1681 0.8319 0.5000  6 Te 3.66-3.68
Rb3 0.8319 0.1681 0.5000  6 Te 3.66-3.68
Ho1 0.6664 0.3336 0.0000  6 Te 3.09
Ho2 0.3336 0.6664 0.0000  6 Te 3.09
Te1 0.0653 0.3944 0.1961  1 Mg 3.05, 2 Ho 3.09
Te2 0.3944 0.0653 0.1961  1 Mg 3.05, 2 Ho 3.09
Te3 0.7363 0.7363 0.1969  1 Mg 3.05, 2 Ho 3.09
Te4 0.2637 0.2637 0.8031  1 Mg 3.05, 2 Ho 3.09
Te5 0.9347 0.6056 0.8039  1 Mg 3.05, 2 Ho 3.09
Te6 0.6056 0.9347 0.8039  1 Mg 3.05, 2 Ho 3.09
Mg1 0.0000 0.0000 0.0000  6 Te 3.05

Values from the calculation:
Uncorrected formation energy, eV per atom: -1.14
E_tot, eV/atom: -3.851
DOS at the Fermi energy, states/eV/f.u.: 7.0
Total magnetization, μB per atom: 0.0000


(3)
VASP calculation (GGA-PBE) on H2AuS4 after structural relaxation.

a b c (Å): 6.9747 6.9743 11.3276
angles (deg): 91.27 91.28 144.23
With the nearest neighbours (Å) after each atom.
Fractional positions:
H1 0.2064 0.3992 0.6795  1 S 1.38
H2 0.6129 0.4129 0.3205  1 S 1.38
H3 0.6632 0.3631 0.8205  1 S 1.38
H4 0.6494 0.9564 0.1796  1 S 1.38
S1 0.2405 0.8997 0.9285  1 S 2.04
S2 0.1493 0.9903 0.4286  1 S 2.04
S3 0.7174 0.9310 0.5736  1 S 2.04
S4 0.8776 0.7139 0.2731  1 H 1.38
S5 0.1809 0.4672 0.0736  1 S 2.04
S6 0.5198 0.6968 0.7270  1 H 1.38
S7 0.9642 0.6281 0.7730  1 H 1.38
S8 0.9469 0.2700 0.2270  1 H 1.38
Au1 0.3775 0.8938 0.4977  2 S 2.30-2.31
Au2 0.1440 0.1276 0.9978  2 S 2.30-2.31

Values from the calculation:
E_tot, eV/atom: -3.693
DOS at the Fermi energy, states/eV/f.u.: 2.2
Total magnetization, μB per atom: 0.0000


(4)
VASP calculation (GGA-PBE) on KScZn after structural relaxation.

a b c (Å): 5.1709 5.1709 5.1709
angles (deg): 60.00 60.00 60.00
With the nearest neighbours (Å) after each atom.
Fractional positions:
Zn1 0.7500 0.7500 0.7500  4 Sc 3.17, 4 K 3.17
K1 0.0000 0.0000 0.0000  4 Zn 3.17
Sc1 0.5000 0.5000 0.5000  4 Zn 3.17

Values from the calculation:
E_tot, eV/atom: -2.269
E_form, eV per atom: 0.6315
Polymorph energy (0 for the lowest one), meV/atom: 466
DOS at the Fermi energy, states/eV/f.u.: 3.7
Total magnetization, μB per atom: 0.4717


(5)
VASP calculation (GGA-PBE) on KHo4Ga3O12 after structural relaxation.

a b c (Å): 7.0938 7.0938 7.0938
angles (deg): 109.47 109.47 109.47
With the nearest neighbours (Å) after each atom.
Fractional positions:
O1 0.6701 0.8399 0.5100  1 Ga 1.91
O2 0.3299 0.8399 0.1697  1 Ga 1.91
O3 0.8399 0.5100 0.6701  1 Ga 1.91
O4 0.1697 0.3299 0.8399  1 Ga 1.91
O5 0.3299 0.1601 0.4900  1 Ga 1.91
O6 0.5100 0.6701 0.8399  1 Ga 1.91
O7 0.1601 0.8303 0.6701  1 Ga 1.91
O8 0.1601 0.4900 0.3299  1 Ga 1.91
O9 0.4900 0.3299 0.1601  1 Ga 1.91
O10 0.6701 0.1601 0.8303  1 Ga 1.91
O11 0.8303 0.6701 0.1601  1 Ga 1.91
O12 0.8399 0.1697 0.3299  1 Ga 1.91
Ga1 0.0000 0.5000 0.5000  4 O 1.91
Ga2 0.5000 0.0000 0.5000  4 O 1.91
Ga3 0.5000 0.5000 0.0000  4 O 1.91
Ho1 0.5000 0.0000 0.0000  6 O 2.27
Ho2 0.5000 0.5000 0.5000  6 O 2.27
Ho3 0.0000 0.5000 0.0000  6 O 2.27
Ho4 0.0000 0.0000 0.5000  6 O 2.27
K1 0.0000 0.0000 0.0000  12 O 3.00

Values from the calculation:
Uncorrected formation energy, eV per atom: -2.42
E_tot, eV/atom: -6.816
DOS at the Fermi energy, states/eV/f.u.: 6.6
Total magnetization, μB per atom: 0.1028


(6)
VASP calculation (GGA-PBE) on EuHoSn after structural relaxation.

a b c (Å): 3.7826 5.2926 5.2926
angles (deg): 120.00 90.00 90.00
With the nearest neighbours (Å) after each atom.
Fractional positions:
Sn1 0.5906 0.6667 0.3333  3 Ho 3.12, 3 Eu 3.39
Ho1 0.4304 0.3333 0.6667  3 Sn 3.12
Eu1 0.9789 0.0000 0.0000  3 Sn 3.39, 6 Ho 3.50-3.69, 2 Eu 3.78

Values from the calculation:
E_tot, eV/atom: -6.656
E_form, eV per atom: -0.3709
Polymorph energy (0 for the lowest one), meV/atom: 21
DOS at the Fermi energy, states/eV/f.u.: 2.6
Total magnetization, μB per atom: 2.5505


(7)
VASP calculation (GGA-PBE) on Pr5Dy4In after structural relaxation.

a b c (Å): 4.2254 4.2254 18.4160
angles (deg): 90.00 90.00 90.00
With the nearest neighbours (Å) after each atom.
Fractional positions:
Pr1 0.5000 0.5000 0.7049  8 Dy 3.53, 2 Pr 3.77
Pr2 0.5000 0.5000 0.9097  1 Pr 3.33, 4 In 3.42, 4 Dy 3.54
Pr3 0.5000 0.5000 0.2951  8 Dy 3.53, 2 Pr 3.77
Pr4 0.5000 0.5000 0.0903  1 Pr 3.33, 4 In 3.42, 4 Dy 3.54
Pr5 0.5000 0.5000 0.5000  8 Dy 3.53, 2 Pr 3.77
Dy1 0.0000 0.0000 0.3976  8 Pr 3.53, 2 Dy 3.76-3.77
Dy2 0.0000 0.0000 0.6024  8 Pr 3.53, 2 Dy 3.76-3.77
Dy3 0.0000 0.0000 0.8067  8 Pr 3.53-3.54, 1 In 3.56, 1 Dy 3.76
Dy4 0.0000 0.0000 0.1933  8 Pr 3.53-3.54, 1 In 3.56, 1 Dy 3.76
In1 0.0000 0.0000 0.0000  8 Pr 3.42, 2 Dy 3.56

Values from the calculation:
E_tot, eV/atom: -4.516
E_form, eV per atom: -0.0116
Polymorph energy (0 for the lowest one), meV/atom: 0
DOS at the Fermi energy, states/eV/f.u.: 16.5
Total magnetization, μB per atom: 0.0001


(8)
VASP calculation (GGA-PBE) on Pr2Sm5Tm6 after structural relaxation.

a b c (Å): 3.5792 11.7019 20.4061
angles (deg): 90.00 90.00 90.00
With the nearest neighbours (Å) after each atom.
Fractional positions:
Pr1 0.0000 0.1709 0.7808  3 Tm 3.43-3.63, 4 Sm 3.53-3.56, 2 Pr 3.58
Pr2 0.0000 0.6709 0.7192  3 Tm 3.43-3.63, 4 Sm 3.53-3.56, 2 Pr 3.58
Pr3 0.0000 0.8291 0.2192  3 Tm 3.43-3.63, 4 Sm 3.53-3.56, 2 Pr 3.58
Pr4 0.0000 0.3291 0.2808  3 Tm 3.43-3.63, 4 Sm 3.53-3.56, 2 Pr 3.58
Tm1 0.5000 0.8180 0.3740  2 Sm 3.29-3.34, 6 Tm 3.50-3.64, 2 Pr 3.63
Tm2 0.0000 0.0744 0.3639  6 Sm 3.42-3.61, 1 Pr 3.43, 4 Tm 3.50-3.58
Tm3 0.5000 0.6820 0.8740  2 Sm 3.29-3.34, 6 Tm 3.50-3.64, 2 Pr 3.63
Tm4 0.0000 0.9388 0.9240  5 Tm 3.42-3.64, 6 Sm 3.45-3.58
Tm5 0.0000 0.4256 0.8639  6 Sm 3.42-3.61, 1 Pr 3.43, 4 Tm 3.50-3.58
Tm6 0.0000 0.9256 0.6361  6 Sm 3.42-3.61, 1 Pr 3.43, 4 Tm 3.50-3.58
Tm7 0.5000 0.3180 0.1260  2 Sm 3.29-3.34, 6 Tm 3.50-3.64, 2 Pr 3.63
Tm8 0.0000 0.4388 0.5760  5 Tm 3.42-3.64, 6 Sm 3.45-3.58
Tm9 0.0000 0.0612 0.0760  5 Tm 3.42-3.64, 6 Sm 3.45-3.58
Tm10 0.5000 0.1820 0.6260  2 Sm 3.29-3.34, 6 Tm 3.50-3.64, 2 Pr 3.63
Tm11 0.0000 0.5744 0.1361  6 Sm 3.42-3.61, 1 Pr 3.43, 4 Tm 3.50-3.58
Tm12 0.0000 0.5612 0.4240  5 Tm 3.42-3.64, 6 Sm 3.45-3.58
Sm1 0.5000 0.7990 0.0525  7 Tm 3.57-3.89, 3 Sm 3.58-3.66, 2 Pr 3.86
Sm2 0.5000 0.4109 0.7196  5 Tm 3.29-3.45, 4 Pr 3.53-3.56, 2 Sm 3.58
Sm3 0.5000 0.5000 0.0000  6 Tm 3.34-3.42, 4 Sm 3.58-3.66
Sm4 0.5000 0.9109 0.7804  5 Tm 3.29-3.45, 4 Pr 3.53-3.56, 2 Sm 3.58
Sm5 0.5000 0.5891 0.2804  5 Tm 3.29-3.45, 4 Pr 3.53-3.56, 2 Sm 3.58
Sm6 0.5000 0.2990 0.4475  7 Tm 3.57-3.89, 3 Sm 3.58-3.66, 2 Pr 3.86
Sm7 0.5000 0.0891 0.2196  5 Tm 3.29-3.45, 4 Pr 3.53-3.56, 2 Sm 3.58
Sm8 0.5000 0.7010 0.5525  7 Tm 3.57-3.89, 3 Sm 3.58-3.66, 2 Pr 3.86
Sm9 0.5000 0.0000 0.5000  6 Tm 3.34-3.42, 4 Sm 3.58-3.66
Sm10 0.5000 0.2010 0.9475  7 Tm 3.57-3.89, 3 Sm 3.58-3.66, 2 Pr 3.86

Values from the calculation:
E_tot, eV/atom: -4.515
E_form, eV per atom: 0.0993
DOS at the Fermi energy, states/eV/f.u.: 17.5
Total magnetization, μB per atom: 0.0000


(9)
VASP calculation (GGA-PBE) on MnV12Cr6 after structural relaxation.

a b c (Å): 6.3059 6.3059 6.3059
angles (deg): 87.95 87.95 87.95
With the nearest neighbours (Å) after each atom.
Fractional positions:
Cr1 0.7397 0.2583 0.1175  1 Mn 2.39, 6 V 2.50-2.62, 2 Cr 2.50
Cr2 0.8825 0.2603 0.7417  1 Mn 2.39, 6 V 2.50-2.62, 2 Cr 2.50
Cr3 0.2603 0.7417 0.8825  1 Mn 2.39, 6 V 2.50-2.62, 2 Cr 2.50
Cr4 0.2583 0.1175 0.7397  1 Mn 2.39, 6 V 2.50-2.62, 2 Cr 2.50
Cr5 0.7417 0.8825 0.2603  1 Mn 2.39, 6 V 2.50-2.62, 2 Cr 2.50
Cr6 0.1175 0.7397 0.2583  1 Mn 2.39, 6 V 2.50-2.62, 2 Cr 2.50
V1 0.9397 0.8596 0.6182  4 V 2.40-2.68, 3 Cr 2.61-2.68, 1 Mn 2.64
V2 0.5196 0.4189 0.8132  4 Cr 2.50-2.62, 4 V 2.60-2.68
V3 0.8596 0.6182 0.9397  4 V 2.40-2.68, 3 Cr 2.61-2.68, 1 Mn 2.64
V4 0.4804 0.5811 0.1868  4 Cr 2.50-2.62, 4 V 2.60-2.68
V5 0.1868 0.4804 0.5811  4 Cr 2.50-2.62, 4 V 2.60-2.68
V6 0.4189 0.8132 0.5196  4 Cr 2.50-2.62, 4 V 2.60-2.68
V7 0.5811 0.1868 0.4804  4 Cr 2.50-2.62, 4 V 2.60-2.68
V8 0.1404 0.3818 0.0603  4 V 2.40-2.68, 3 Cr 2.61-2.68, 1 Mn 2.64
V9 0.0603 0.1404 0.3818  4 V 2.40-2.68, 3 Cr 2.61-2.68, 1 Mn 2.64
V10 0.3818 0.0603 0.1404  4 V 2.40-2.68, 3 Cr 2.61-2.68, 1 Mn 2.64
V11 0.8132 0.5196 0.4189  4 Cr 2.50-2.62, 4 V 2.60-2.68
V12 0.6182 0.9397 0.8596  4 V 2.40-2.68, 3 Cr 2.61-2.68, 1 Mn 2.64
Mn1 0.0000 0.0000 0.0000  6 Cr 2.39, 6 V 2.64

Values from the calculation:
E_tot, eV/atom: -9.152
E_form, eV per atom: 0.1283
DOS at the Fermi energy, states/eV/f.u.: 21.6
Total magnetization, μB per atom: 0.0000


(10)
VASP calculation (GGA-PBE) on Zr5CoPt after structural relaxation.

a b c (Å): 5.4093 7.4128 7.4128
angles (deg): 78.59 77.39 77.39
With the nearest neighbours (Å) after each atom.
Fractional positions:
Zr1 0.7500 0.7387 0.2613  2 Co 2.80, 1 Pt 2.80, 2 Zr 3.13
Zr2 0.0695 0.3460 0.1797  7 Zr 2.92-3.26, 2 Pt 3.09-3.15, 1 Co 3.24
Zr3 0.1642 0.9456 0.3220  2 Co 2.65-2.68, 1 Pt 2.79, 2 Zr 2.92-2.95
Zr4 0.2500 0.2613 0.7387  2 Co 2.80, 1 Pt 2.80, 2 Zr 3.13
Zr5 0.5695 0.1797 0.3460  7 Zr 2.92-3.26, 2 Pt 3.09-3.15, 1 Co 3.24
Zr6 0.8358 0.0544 0.6780  2 Co 2.65-2.68, 1 Pt 2.79, 2 Zr 2.92-2.95
Zr7 0.3358 0.6780 0.0544  2 Co 2.65-2.68, 1 Pt 2.79, 2 Zr 2.92-2.95
Zr8 0.6642 0.3220 0.9456  2 Co 2.65-2.68, 1 Pt 2.79, 2 Zr 2.92-2.95
Zr9 0.4305 0.8203 0.6540  7 Zr 2.92-3.26, 2 Pt 3.09-3.15, 1 Co 3.24
Zr10 0.9305 0.6540 0.8203  7 Zr 2.92-3.26, 2 Pt 3.09-3.15, 1 Co 3.24
Co1 0.5000 0.0000 0.0000  6 Zr 2.65-2.80, 2 Co 2.70
Co2 0.0000 0.0000 0.0000  6 Zr 2.65-2.80, 2 Co 2.70
Pt1 0.2500 0.5599 0.4401  5 Zr 2.79-3.09, 2 Pt 2.93
Pt2 0.7500 0.4401 0.5599  5 Zr 2.79-3.09, 2 Pt 2.93

Values from the calculation:
E_tot, eV/atom: -8.250
E_form, eV per atom: -0.2662
Polymorph energy (0 for the lowest one), meV/atom: 0
DOS at the Fermi energy, states/eV/f.u.: 6.2
Total magnetization, μB per atom: 0.0000


(11)
VASP calculation (GGA-PBE) on NdGdGaCu after structural relaxation.

a b c (Å): 5.1168 5.1168 5.1168
angles (deg): 60.00 60.00 60.00
With the nearest neighbours (Å) after each atom.
Fractional positions:
Nd1 0.5000 0.5000 0.5000  4 Cu 3.13, 4 Ga 3.13
Ga1 0.2500 0.2500 0.2500  4 Gd 3.13, 4 Nd 3.13
Gd1 0.0000 0.0000 0.0000  4 Cu 3.13, 4 Ga 3.13
Cu1 0.7500 0.7500 0.7500  4 Gd 3.13, 4 Nd 3.13

Values from the calculation:
E_tot, eV/atom: -6.862
E_form, eV per atom: -0.3694
DOS at the Fermi energy, states/eV/f.u.: 3.5
Total magnetization, μB per atom: 1.8737


(12)
VASP calculation (GGA-PBE) on ZnCd3 after structural relaxation.

a b c (Å): 4.3278 6.2230 6.2231
angles (deg): 87.83 90.00 90.00
With the nearest neighbours (Å) after each atom.
Fractional positions:
Cd1 0.7500 0.6358 0.6156  4 Zn 3.00-3.23, 8 Cd 3.03-3.19
Cd2 0.2500 0.3642 0.3844  4 Zn 3.00-3.23, 8 Cd 3.03-3.19
Cd3 0.2500 0.3717 0.8717  10 Cd 3.03-3.19, 2 Zn 3.14
Cd4 0.7500 0.1156 0.1358  4 Zn 3.00-3.23, 8 Cd 3.03-3.19
Cd5 0.2500 0.8844 0.8642  4 Zn 3.00-3.23, 8 Cd 3.03-3.19
Cd6 0.7500 0.6283 0.1283  10 Cd 3.03-3.19, 2 Zn 3.14
Zn1 0.7500 0.1172 0.6172  10 Cd 3.00-3.23, 2 Zn 3.02
Zn2 0.2500 0.8828 0.3828  10 Cd 3.00-3.23, 2 Zn 3.02

Values from the calculation:
E_tot, eV/atom: -0.950
E_form, eV per atom: 0.0545
DOS at the Fermi energy, states/eV/f.u.: 1.1
Total magnetization, μB per atom: 0.0000